Density functional theory data (SCAN) for a PBEsol-optimized structure of La2Cr2I.

Cell lengths 5.527, 5.527, 5.527 Å; angles 92.94, 118.32, 118.32 degrees
Atoms (fractional coordinates):
Cr 0.000 0.626 0.626
La 0.500 0.750 0.250
Cr 0.000 0.374 0.374
I 0.000 0.000 0.000
La 0.500 0.250 0.750

## Properties
Uncorrected energy, eV per atom: -31.34
Magnetization, Bohr magnetons per cell: 8.28